Computed, not measured: a relaxed Cs3PbBr6 crystal at the GGA-PBE level of DFT.

Calculated values
* M_tot: 0.00 μB per cell
* formation energy without anion corrections: -13.33 eV/f.u.

Cell: 8.5262 9.0391 14.8626 Å, 90.00 124.88 90.00°
With the nearest neighbours (Å) after each atom.
Fractional coordinates of all 20 atoms:
Cs  0.0000  0.0000  0.0000  6 Br 3.56-3.63
Cs  0.0000  0.5000  0.5000  6 Br 3.56-3.63
Cs  0.2221  0.0714  0.7485  6 Br 3.67-3.95
Cs  0.2221  0.4286  0.2485  6 Br 3.67-3.95
Cs  0.7779  0.5714  0.7515  6 Br 3.67-3.95
Cs  0.7779  0.9286  0.2515  6 Br 3.67-3.95
Pb  0.5000  0.0000  0.5000  6 Br 2.91-2.93
Pb  0.5000  0.5000  0.0000  6 Br 2.91-2.93
Br  0.1730  0.1763  0.4478  1 Pb 2.91
Br  0.1730  0.3237  0.9478  1 Pb 2.91
Br  0.2650  0.7322  0.4312  1 Pb 2.93
Br  0.2650  0.7678  0.9312  1 Pb 2.93
Br  0.3953  0.0469  0.2785  1 Pb 2.91
Br  0.3953  0.4531  0.7785  1 Pb 2.91
Br  0.6047  0.5469  0.2215  1 Pb 2.91
Br  0.6047  0.9531  0.7215  1 Pb 2.91
Br  0.7350  0.2322  0.0688  1 Pb 2.93
Br  0.7350  0.2678  0.5688  1 Pb 2.93
Br  0.8270  0.6763  0.0522  1 Pb 2.91
Br  0.8270  0.8237  0.5522  1 Pb 2.91

Computed, not measured: a relaxed Cs2PbBr7 crystal at the GGA-PBE level of DFT.

Calculated values
* M_tot: 0.00 μB per cell
* formation energy without anion corrections: -9.31 eV/f.u.

Cell: 8.3309 8.3309 8.3309 Å, 116.05 116.05 97.00°
With the nearest neighbours (Å) after each atom.
Fractional coordinates of all 10 atoms:
Cs  0.2500  0.7500  0.5000  12 Br 4.18-4.42
Cs  0.7500  0.2500  0.5000  12 Br 4.18-4.42
Pb  0.0000  0.0000  0.0000  6 Br 2.84-2.94
Br  0.2272  0.2272  0.4544  1 Pb 2.84
Br  0.2272  0.7728  0.0000  1 Pb 2.84
Br  0.2667  0.2667  0.0000  1 Br 2.58
Br  0.5000  0.5000  0.0000  2 Br 2.58
Br  0.7333  0.7333  0.0000  1 Br 2.58
Br  0.7728  0.2272  0.0000  1 Pb 2.84
Br  0.7728  0.7728  0.5456  1 Pb 2.84

Computed, not measured: a relaxed CsPbBr4 crystal at the GGA-PBE level of DFT.

Calculated values
* M_tot: 0.00 μB per cell
* formation energy without anion corrections: -5.70 eV/f.u.

Cell: 5.2119 5.2119 8.9680 Å, 90.00 90.00 100.79°
With the nearest neighbours (Å) after each atom.
Fractional coordinates of all 6 atoms:
Cs  0.0000  0.0000  0.0000  8 Br 3.69
Pb  0.5000  0.5000  0.5000  8 Br 3.21
Br  0.0000  0.5000  0.2906  2 Pb 3.21, 2 Br 3.32
Br  0.0000  0.5000  0.7094  2 Pb 3.21, 2 Br 3.32
Br  0.5000  0.0000  0.2906  2 Pb 3.21, 2 Br 3.32
Br  0.5000  0.0000  0.7094  2 Pb 3.21, 2 Br 3.32

Computed, not measured: a relaxed Cs4Pb3Br10 crystal at the GGA-PBE level of DFT.

Calculated values
* M_tot: 0.00 μB per cell
* formation energy without anion corrections: -23.00 eV/f.u.

Cell: 21.4417 21.4417 21.4417 Å, 163.93 163.93 22.81°
With the nearest neighbours (Å) after each atom.
Fractional coordinates of all 17 atoms:
Cs  0.0679  0.0679  0.0000  12 Br 4.14-4.30
Cs  0.1998  0.1998  0.0000  5 Br 3.60-3.88
Cs  0.8002  0.8002  0.0000  5 Br 3.60-3.88
Cs  0.9321  0.9321  0.0000  12 Br 4.14-4.30
Pb  0.3555  0.3555  0.0000  6 Br 2.95-3.08
Pb  0.5000  0.5000  0.0000  6 Br 3.00
Pb  0.6445  0.6445  0.0000  6 Br 2.95-3.08
Br  0.0000  0.5000  0.5000  2 Pb 3.00
Br  0.1412  0.6412  0.5000  2 Pb 3.00
Br  0.2854  0.2854  0.0000  1 Pb 2.95
Br  0.3588  0.8588  0.5000  2 Pb 3.00
Br  0.4288  0.4288  0.0000  2 Pb 3.00-3.08
Br  0.5000  0.0000  0.5000  2 Pb 3.00
Br  0.5712  0.5712  0.0000  2 Pb 3.00-3.08
Br  0.6412  0.1412  0.5000  2 Pb 3.00
Br  0.7146  0.7146  0.0000  1 Pb 2.95
Br  0.8588  0.3588  0.5000  2 Pb 3.00

Computed, not measured: a relaxed Cs3Pb4Br12 crystal at the GGA-PBE level of DFT.

Calculated values
* M_tot: 0.00 μB per cell
* formation energy without anion corrections: -21.79 eV/f.u.

Cell: 10.2216 10.2216 10.2216 Å, 109.47 109.47 109.47°
With the nearest neighbours (Å) after each atom.
Fractional coordinates of all 19 atoms:
Cs  0.0000  0.5000  0.5000  8 Br 3.80-4.09
Cs  0.5000  0.0000  0.5000  8 Br 3.80-4.09
Cs  0.5000  0.5000  0.0000  8 Br 3.80-4.09
Pb  0.0000  0.0000  0.5000  6 Br 2.98
Pb  0.0000  0.5000  0.0000  6 Br 2.98
Pb  0.5000  0.0000  0.0000  6 Br 2.98
Pb  0.5000  0.5000  0.5000  6 Br 2.98
Br  0.0450  0.7662  0.2788  2 Pb 2.98
Br  0.2338  0.2788  0.5125  2 Pb 2.98
Br  0.2338  0.7212  0.9550  2 Pb 2.98
Br  0.2788  0.0450  0.7662  2 Pb 2.98
Br  0.2788  0.5125  0.2338  2 Pb 2.98
Br  0.4875  0.7662  0.7212  2 Pb 2.98
Br  0.5125  0.2338  0.2788  2 Pb 2.98
Br  0.7212  0.4875  0.7662  2 Pb 2.98
Br  0.7212  0.9550  0.2338  2 Pb 2.98
Br  0.7662  0.2788  0.0450  2 Pb 2.98
Br  0.7662  0.7212  0.4875  2 Pb 2.98
Br  0.9550  0.2338  0.7212  2 Pb 2.98

Computed, not measured: a relaxed CsPb3Br crystal at the GGA-PBE level of DFT.

Calculated values
* M_tot: 0.00 μB per cell
* formation energy without anion corrections: 0.93 eV/f.u.
* relative energy among the computed polymorphs: 0.0000 eV/atom

Cell: 6.0037 6.0037 6.0037 Å, 90.00 90.00 90.00°
With the nearest neighbours (Å) after each atom.
Fractional coordinates of all 5 atoms:
Cs  0.0000  0.0000  0.0000  12 Pb 4.25
Pb  0.0000  0.5000  0.5000  2 Br 3.00
Pb  0.5000  0.0000  0.5000  2 Br 3.00
Pb  0.5000  0.5000  0.0000  2 Br 3.00
Br  0.5000  0.5000  0.5000  6 Pb 3.00

| no. | DOS(E_F) (states/eV/cell) |
| --- | --- |
| 1 | 13.5 |
| 2 | 7.9 |
| 3 | 3.9 |
| 4 | 0.0 |
| 5 | 5.3 |
| 6 | 4.2 |